# Te2WO6 (GGA+U, relaxed)
# Final energy in eV/f.u.: -54.1
data_Te2WO6
_cell_length_a 13.197
_cell_length_b 8.692
_cell_length_c 5.401
_cell_angle_alpha 90.00
_cell_angle_beta 102.05
_cell_angle_gamma 90.00
_symmetry_space_group_name_H-M 'C 1 2/c 1'
_symmetry_Int_Tables_number 15
loop_
_symmetry_equiv_pos_as_xyz
'x,y,z'
'-x,-y,-z'
'-x,y,-z+1/2'
'x,-y,z+1/2'
'x+1/2,y+1/2,z'
'-x+1/2,-y+1/2,-z'
'-x+1/2,y+1/2,-z+1/2'
'x+1/2,-y+1/2,z+1/2'
loop_
_atom_site_label
_atom_site_type_symbol
_atom_site_fract_x
_atom_site_fract_y
_atom_site_fract_z
Te1 Te 0.230 0.153 0.242
W1 W 0.000 0.399 0.250
O1 O 0.085 0.438 0.587
O2 O 0.091 0.230 0.171
O3 O 0.202 0.040 0.564